# 1
## SrPtCl2 (GGA-PBE)

Data for SrPtCl2 after structural relaxation. Values from VASP.

Results
symmetry	No. 8
energy relative to the elements, uncorrected	-465	kJ/mol of formula units

Structure (Quantum ESPRESSO input):
```
&SYSTEM
  ibrav = 0, nat = 4, ntyp = 3
/
ATOMIC_SPECIES
Sr 87.62 Sr.upf
Pt 195.08 Pt.upf
Cl 35.45 Cl.upf
CELL_PARAMETERS angstrom
6.431 -2.212 0.000
6.431 2.212 0.000
-1.214 0.000 3.779
ATOMIC_POSITIONS angstrom
Sr 0.000 0.000 0.000
Pt 10.067 0.000 1.187
Cl 3.088 0.000 1.005
Cl 6.504 0.000 2.106
```


# 2
## CrTcIr2 (GGA-PBE)

Data for CrTcIr2 after structural relaxation. Values from VASP.

Results
symmetry	No. 139
N(E_F)	4.04	states/eV per cell

Structure (Quantum ESPRESSO input):
```
&SYSTEM
  ibrav = 0, nat = 4, ntyp = 3
/
ATOMIC_SPECIES
Cr 52.00 Cr.upf
Tc 98.00 Tc.upf
Ir 192.22 Ir.upf
CELL_PARAMETERS angstrom
-1.907 1.907 3.830
1.907 -1.907 3.830
1.907 1.907 -3.830
ATOMIC_POSITIONS angstrom
Cr 0.000 0.000 0.000
Tc 0.000 0.000 3.830
Ir 1.907 0.000 1.915
Ir 0.000 1.907 1.915
```


| no. | spin magnetization (μB per formula unit) | E above lowest polymorph (meV/atom) |
| --- | --- | --- |
| 1 | 0.0 | 119 |
| 2 | 0.5 | 78 |